Here is a geometry-optimized Hf2NiO structure from the Alexandria database. Energies are from PBE with a Hubbard U.

Calculated values
- DFT total energy (eV per cell) = -122.29

Geometry as CIF:
```
data_Hf2NiO
_chemical_formula_sum 'Hf8 Ni4 O4'
_cell_length_a 5.210
_cell_length_b 5.210
_cell_length_c 10.298
_cell_angle_alpha 90.00
_cell_angle_beta 90.00
_cell_angle_gamma 90.00
_space_group_name_H-M_alt 'I -4 2 d'
_space_group_IT_number 122
_space_group_name_Hall 'I -4 2bw'
loop_
_atom_site_label
_atom_site_type_symbol
_atom_site_fract_x
_atom_site_fract_y
_atom_site_fract_z
Hf1 Hf 0.196 0.250 0.125
Ni1 Ni 0.000 0.000 0.500
O1 O 0.000 0.000 0.000
```